Entry 1:
VASP calculation (GGA-PBE) on a relaxed structure of KHfRuO6.

Lattice parameters (Å, degrees): 5.3801 5.3801 5.9663 90.00 90.00 120.00
Closest atoms and distances in Å follow each position.
Space group P312 (No. 149)
Inequivalent atoms, fractional coordinates:
K: 0.0000 0.0000 0.0000 [1 per cell]  6 O 2.82
Hf: 0.3333 0.6667 0.5000 [1 per cell]  6 O 2.08
Ru: 0.6667 0.3333 0.5000 [1 per cell]  6 O 1.91
O: 0.4011 0.0229 0.6848 [6 per cell]  1 Ru 1.91, 1 Hf 2.08

## Properties
E_tot = -7.294 eV per atom
calculated volume = 149.6 Å³ per cell

=====

Entry 2:
VASP calculation (GGA-PBE) on a relaxed structure of MgTlZn2.

Lattice parameters (Å, degrees): 3.3144 3.9417 6.4031 90.00 90.00 90.00
Closest atoms and distances in Å follow each position.
Space group Pmmm (No. 47)
Inequivalent atoms, fractional coordinates:
Mg: 0.0000 0.0000 0.0000 [1 per cell]  8 Zn 2.92, 2 Tl 3.20
Tl: 0.0000 0.0000 0.5000 [1 per cell]  8 Zn 3.16, 2 Mg 3.20, 2 Tl 3.31
Zn: 0.5000 0.5000 0.2144 [2 per cell]  1 Zn 2.75, 4 Mg 2.92

## Properties
ΔH_f (0 K) = 0.07 eV/atom
calculated volume = 83.7 Å³ per cell
ΔE to the lowest computed polymorph = 0.0195 eV per atom

=====

Entry 3:
VASP calculation (GGA-PBE) on a relaxed structure of Na2CrAgTe4.

Lattice parameters (Å, degrees): 8.0469 8.6268 13.1515 90.00 90.00 90.00
Closest atoms and distances in Å follow each position.
Space group Imma (No. 74)
Inequivalent atoms, fractional coordinates:
Na: 0.0000 0.0000 0.0000 [4 per cell]  6 Te 3.05-3.21
Na: 0.2500 0.2500 0.2500 [4 per cell]  4 Te 3.19
Cr: 0.2500 0.2500 0.7500 [4 per cell]  6 Te 2.74-2.75
Ag: 0.0000 0.0000 0.5000 [4 per cell]  4 Te 2.81
Te: 0.0000 0.0348 0.7694 [8 per cell]  2 Cr 2.75, 1 Na 3.05
Te: 0.2125 0.2500 0.5428 [8 per cell]  1 Cr 2.74, 2 Ag 2.81

## Properties
E_tot = -3.829 eV per atom
calculated volume = 913.0 Å³ per cell